Record 1
DFT (PBE-GGA) results for a relaxed Tm3Ga2 crystal.

uncorrected energy = -4.441 eV/atom

Lattice parameters (Å, degrees): 11.4188 11.4188 14.6489 90.00 90.00 90.00
Space group I4/mcm (No. 140)
Symmetry-distinct sites (fractional):
Tm  0.0000  0.5000  0.1460
Tm  0.0669  0.2030  0.1357
Tm  0.1693  0.3307  0.5000
Ga  0.0000  0.0000  0.0000
Ga  0.0000  0.0000  0.2500
Ga  0.1179  0.3821  0.0000
Ga  0.1769  0.3231  0.2989

=====

Record 2
DFT (PBE-GGA) results for a relaxed YNiB4 crystal.

distance to the lowest polymorph of the same formula = 2.532 eV per formula unit

Lattice parameters (Å, degrees): 3.1386 5.2865 7.4201 90.00 90.00 90.00
Space group Immm (No. 71)
Symmetry-distinct sites (fractional):
Y  0.0000  0.0000  0.0000
Ni  0.0000  0.0000  0.5000
B  0.0000  0.3278  0.2539